[1]
# SrLi2Y

SrLi2Y after structural relaxation (GGA-PBE, Alexandria).

Unit cell a=6.7857 b=6.7857 c=6.7857 alpha=148.77 beta=130.02 gamma=60.13
Closest atoms and distances in Å follow each position.
Fractional coordinates of all 4 atoms:
Li 0.9705 0.9705 0.0000  2 Li 2.86
Li 0.7830 0.2830 0.5000  2 Li 2.86
Sr 0.5202 0.5202 0.0000  6 Li 3.45-3.59, 2 Sr 3.65, 2 Y 3.75
Y 0.2262 0.7262 0.5000  6 Li 3.46-3.52, 2 Y 3.65, 2 Sr 3.75

crystal system: orthorhombic
size of the total moment: 0.000 μB/atom
ΔE to the lowest computed polymorph: 0.21 eV/f.u.
symmetry: Imm2 (44)

***

[2]
# SrLi2Y

SrLi2Y after structural relaxation (GGA-PBE, Alexandria).

Unit cell a=11.4694 b=11.4694 c=11.4694 alpha=18.36 beta=18.36 gamma=18.36
Closest atoms and distances in Å follow each position.
Fractional coordinates of all 4 atoms:
Li 0.0045 0.0045 0.0045  3 Y 3.40, 3 Sr 3.64, 6 Li 3.66
Li 0.4955 0.4955 0.4955  3 Y 3.40, 3 Sr 3.64, 6 Li 3.66
Sr 0.2500 0.2500 0.2500  6 Li 3.64, 6 Sr 3.66
Y 0.7500 0.7500 0.7500  6 Li 3.40, 6 Y 3.66

crystal system: trigonal
size of the total moment: 0.000 μB/atom
ΔE to the lowest computed polymorph: 0.48 eV/f.u.
symmetry: R-3m (166)

***

> What is the ΔE to the lowest computed polymorph in the second record?

0.48 eV/f.u.

***

> Which value of size of the total moment does entry 1 give?

0.000 μB/atom

***

> ΔE to the lowest computed polymorph of number 1 (SrLi2Y)?

0.21 eV/f.u.

***

> What is the size of the total moment in the second record?

0.000 μB/atom